Computed, not measured: a relaxed structure of CsRb at the PBE-GGA level of DFT.

Cell and atoms, written as POSCAR:
```
CsRb
1.0
5.082 0.136 0.000
-1.522 4.851 0.000
0.000 0.000 8.100
Rb Cs
1 1
Direct
0.500 0.500 0.500
0.000 0.000 0.000
```

Results
For the formation energy, the calculation gives 0 kJ/mol of atoms. The calculation puts the distance to the lowest polymorph of the same formula at 0.0050 eV/atom. The calculation puts the total moment at 0.000 μB per atom. Its space-group type is Cmmm (65).

=====

Computed, not measured: a relaxed structure of AuN at the PBE-GGA level of DFT.

Cell and atoms, written as POSCAR:
```
AuN
1.0
-4.281 1.573 4.360
2.181 -4.554 3.784
2.113 2.105 1.315
Au N
4 4
Direct
0.844 0.156 0.500
0.156 0.844 0.500
0.344 0.344 0.000
0.656 0.656 0.000
0.193 0.193 0.500
0.307 0.693 0.000
0.693 0.307 0.000
0.807 0.807 0.500
```

Results
The calculation puts the distance to the lowest polymorph of the same formula at 0.4126 eV/atom. For the uncorrected formation energy, the calculation gives 3.43 eV per formula unit. The calculation puts the total moment at 0.000 μB per atom. Its space-group type is P4_2/mnm (136).

=====

Computed, not measured: a relaxed structure of SrZrScTc2 at the PBE-GGA level of DFT.

Cell and atoms, written as POSCAR:
```
SrZrScTc2
1.0
4.865 0.000 0.000
0.000 5.104 0.000
0.000 0.000 4.865
Sc Tc Zr Sr
1 2 1 1
Direct
0.000 0.000 0.000
0.000 0.000 0.500
0.500 0.000 0.000
0.000 0.500 0.000
0.500 0.500 0.500
```

Results
For the formation energy, the calculation gives 118 kJ/mol of atoms. The calculation puts the total moment at 0.295 μB per atom. Its space-group type is P4/mmm (123).

=====

Computed, not measured: a relaxed structure of YMgB at the PBE-GGA level of DFT.

Cell and atoms, written as POSCAR:
```
YMgB
1.0
5.305 0.009 -0.002
2.642 6.431 0.001
0.000 1.091 3.584
B Mg Y
2 2 2
Direct
0.070 0.515 0.191
0.763 0.515 0.191
0.095 0.156 0.371
0.288 0.772 0.063
0.782 0.784 0.557
0.493 0.362 0.768
```

Results
For the formation energy, the calculation gives -7 kJ/mol of atoms. The calculation puts the distance to the lowest polymorph of the same formula at 0.2049 eV/atom. The calculation puts the total moment at 0.000 μB per atom. Its space-group type is Imm2 (44).

=====

Computed, not measured: a relaxed structure of SiBr2Cl at the PBE-GGA level of DFT.

Cell and atoms, written as POSCAR:
```
SiBr2Cl
1.0
7.262 0.048 -0.096
6.482 3.275 -0.096
1.896 0.458 4.803
Br Cl Si
2 1 1
Direct
0.397 0.397 0.605
0.103 0.103 0.895
0.250 0.250 0.250
0.750 0.750 0.750
```

Results
The calculation puts the distance to the lowest polymorph of the same formula at 0.4153 eV/atom. For the uncorrected formation energy, the calculation gives -0.25 eV per formula unit. The calculation puts the total moment at 0.000 μB per atom. Its space-group type is C2/m (12).

=====

Computed, not measured: a relaxed structure of P2Au at the PBE-GGA level of DFT.

Cell and atoms, written as POSCAR:
```
P2Au
1.0
-9.348 -4.444 0.769
-9.555 -1.134 3.892
8.641 4.223 -3.903
Au P
2 4
Direct
0.750 0.250 0.500
0.000 0.000 0.000
0.337 0.837 0.500
0.413 0.413 0.000
0.163 0.663 0.500
0.587 0.587 0.000
```

Results
For the formation energy, the calculation gives 41 kJ/mol of atoms. The calculation puts the total moment at 0.000 μB per atom. Its space-group type is I4_1/amd (141).

=====

Computed, not measured: a relaxed structure of FeGeRh2 at the PBE-GGA level of DFT.

Cell and atoms, written as POSCAR:
```
FeGeRh2
1.0
-2.236 2.437 -0.489
-2.895 -2.794 -0.683
-0.906 -0.033 3.979
Rh Ge Fe
2 1 1
Direct
0.000 0.500 0.000
0.000 0.000 0.500
0.500 0.000 0.000
0.500 0.500 0.500
```

Results
For the formation energy, the calculation gives -25 kJ/mol of atoms. The calculation puts the total moment at 1.026 μB per atom. Its space-group type is P4/mmm (123).

=====

Computed, not measured: a relaxed structure of NbFe4Ag at the PBE-GGA level of DFT.

Cell and atoms, written as POSCAR:
```
NbFe4Ag
1.0
4.815 0.000 0.000
2.408 4.170 0.000
2.408 1.390 3.931
Nb Fe Ag
1 4 1
Direct
0.250 0.250 0.250
0.626 0.626 0.626
0.626 0.626 0.123
0.626 0.123 0.626
0.123 0.626 0.626
0.000 0.000 0.000
```

Results
For the formation energy, the calculation gives 3 kJ/mol of atoms. The calculation puts the total moment at 1.026 μB per atom. Its space-group type is F-43m (216).

=====

Computed, not measured: a relaxed structure of TiInPd6 at the PBE-GGA level of DFT.

Cell and atoms, written as POSCAR:
```
TiInPd6
1.0
3.986 0.000 0.000
0.000 3.986 0.000
0.000 0.000 7.956
Pd In Ti
6 1 1
Direct
0.000 0.500 0.739
0.000 0.500 0.261
0.500 0.000 0.739
0.500 0.000 0.261
0.500 0.500 0.500
0.500 0.500 0.000
0.000 0.000 0.000
0.000 0.000 0.500
```

Results
For the formation energy, the calculation gives -55 kJ/mol of atoms. The calculation puts the total moment at 0.000 μB per atom. Its space-group type is P4/mmm (123).

=====

Computed, not measured: a relaxed structure of BaAcNi2 at the PBE-GGA level of DFT.

Cell and atoms, written as POSCAR:
```
BaAcNi2
1.0
-3.215 -0.810 2.809
-3.175 -2.767 -1.071
1.655 -6.608 3.350
Ac Ba Ni
1 1 2
Direct
0.000 0.000 0.000
0.500 0.500 0.500
0.739 0.739 0.783
0.261 0.261 0.217
```

Results
For the formation energy, the calculation gives 6 kJ/mol of atoms. The calculation puts the distance to the lowest polymorph of the same formula at 0.0727 eV/atom. The calculation puts the total moment at 0.000 μB per atom. Its space-group type is R-3m (166).

=====

Computed, not measured: a relaxed structure of CeDy14Mg at the PBE-GGA level of DFT.

Cell and atoms, written as POSCAR:
```
CeDy14Mg
1.0
7.026 -0.838 0.000
-2.764 6.514 0.000
0.000 0.000 11.391
Dy Ce Mg
14 1 1
Direct
0.374 0.626 0.253
0.543 0.457 0.000
0.710 0.796 0.500
0.377 0.127 0.253
0.873 0.127 0.753
0.043 0.957 0.000
0.873 0.623 0.747
0.873 0.623 0.253
0.204 0.290 0.500
0.873 0.127 0.247
0.540 0.956 0.000
0.044 0.460 0.000
0.377 0.127 0.747
0.374 0.626 0.747
0.714 0.286 0.500
0.207 0.793 0.500
```

Results
For the formation energy, the calculation gives 2 kJ/mol of atoms. The calculation puts the total moment at 0.068 μB per atom. Its space-group type is Amm2 (38).

=====

Computed, not measured: a relaxed structure of CdAsBr2 at the PBE-GGA level of DFT.

Cell and atoms, written as POSCAR:
```
CdAsBr2
1.0
-2.902 -2.410 0.484
4.780 -5.273 2.416
2.834 -2.079 6.645
Br Cd As
2 1 1
Direct
0.000 0.887 0.888
0.000 0.613 0.612
0.500 0.250 0.250
0.500 0.750 0.750
```

Results
The calculation puts the distance to the lowest polymorph of the same formula at 0.0978 eV/atom. For the uncorrected formation energy, the calculation gives -0.72 eV per formula unit. The calculation puts the total moment at 0.000 μB per atom. Its space-group type is Cmmm (65).

=====

Computed, not measured: a relaxed structure of Nb2Pd7Au3 at the PBE-GGA level of DFT.

Cell and atoms, written as POSCAR:
```
Nb2Pd7Au3
1.0
2.835 0.000 0.000
0.000 4.655 -0.280
0.000 -3.239 15.650
Pd Au Nb
7 3 2
Direct
0.000 0.452 0.147
0.000 0.000 0.000
0.500 0.712 0.457
0.500 0.008 0.805
0.000 0.548 0.853
0.500 0.288 0.543
0.500 0.992 0.195
0.000 0.133 0.369
0.500 0.500 0.000
0.000 0.867 0.631
0.500 0.434 0.706
0.500 0.566 0.294
```

Results
For the formation energy, the calculation gives -7 kJ/mol of atoms. The calculation puts the total moment at 0.000 μB per atom. Its space-group type is P2/m (10).

=====

Computed, not measured: a relaxed structure of LaPrIn2Se4 at the PBE-GGA level of DFT.

Cell and atoms, written as POSCAR:
```
LaPrIn2Se4
1.0
4.359 0.000 0.000
0.000 8.088 -0.352
0.000 2.655 7.067
La Se In Pr
1 4 2 1
Direct
0.500 0.500 0.000
0.000 0.716 0.759
0.500 0.716 0.263
0.500 0.284 0.737
0.000 0.284 0.241
0.500 0.000 0.500
0.000 0.000 0.000
0.000 0.500 0.500
```

Results
For the uncorrected formation energy, the calculation gives -10.60 eV per formula unit. The calculation puts the total moment at 0.000 μB per atom. Its space-group type is P2/m (10).

=====

Computed, not measured: a relaxed structure of LiSm2MgTl4 at the PBE-GGA level of DFT.

Cell and atoms, written as POSCAR:
```
LiSm2MgTl4
1.0
5.291 0.000 0.000
2.645 4.582 0.000
2.645 1.527 8.601
Tl Li Mg Sm
4 1 1 2
Direct
0.378 0.378 0.867
0.127 0.127 0.618
0.873 0.873 0.382
0.622 0.622 0.133
0.500 0.500 0.500
0.000 0.000 0.000
0.748 0.748 0.755
0.252 0.252 0.245
```

Results
For the formation energy, the calculation gives -28 kJ/mol of atoms. The calculation puts the total moment at 0.000 μB per atom. Its space-group type is R-3m (166).

=====

Computed, not measured: a relaxed structure of LaY3Tm12 at the PBE-GGA level of DFT.

Cell and atoms, written as POSCAR:
```
LaY3Tm12
1.0
-4.841 -0.037 -1.157
0.650 -4.205 -2.584
-3.839 -10.675 16.407
Tm La Y
12 1 3
Direct
0.500 0.000 0.872
0.500 0.000 0.128
0.500 0.500 0.000
0.000 0.500 0.128
0.500 0.500 0.252
0.500 0.000 0.376
0.000 0.500 0.376
0.500 0.000 0.624
0.000 0.500 0.624
0.500 0.500 0.748
0.000 0.500 0.872
0.500 0.500 0.500
0.000 0.000 0.000
0.000 0.000 0.749
0.000 0.000 0.251
0.000 0.000 0.500
```

Results
For the formation energy, the calculation gives 3 kJ/mol of atoms. The calculation puts the total moment at 0.000 μB per atom. Its space-group type is P4/mmm (123).

=====

Computed, not measured: a relaxed structure of NaAgOF2 at the PBE-GGA level of DFT.

Cell and atoms, written as POSCAR:
```
NaAgOF2
1.0
4.409 0.000 0.000
0.000 4.409 0.000
0.000 0.000 3.952
F O Na Ag
2 1 1 1
Direct
0.500 0.000 0.000
0.000 0.500 0.000
0.000 0.000 0.500
0.500 0.500 0.500
0.000 0.000 0.000
```

Results
The calculation puts the distance to the lowest polymorph of the same formula at 0.0000 eV/atom. For the uncorrected formation energy, the calculation gives -5.63 eV per formula unit. The calculation puts the total moment at 0.000 μB per atom. Its space-group type is P4/mmm (123).

=====

Computed, not measured: a relaxed structure of V3GaCo5 at the PBE-GGA level of DFT.

Cell and atoms, written as POSCAR:
```
V3GaCo5
1.0
6.640 0.000 0.000
0.000 6.640 0.000
-3.320 -3.320 5.085
Co Ga V
10 2 6
Direct
0.347 0.847 0.266
0.153 0.081 0.734
0.847 0.919 0.266
0.581 0.653 0.734
0.419 0.347 0.266
0.000 0.000 0.000
0.081 0.581 0.734
0.653 0.153 0.734
0.500 0.500 0.000
0.919 0.419 0.266
0.250 0.750 0.500
0.750 0.250 0.500
0.883 0.617 0.000
0.250 0.250 0.500
0.117 0.383 0.000
0.383 0.883 0.000
0.617 0.117 0.000
0.750 0.750 0.500
```

Results
For the formation energy, the calculation gives 21 kJ/mol of atoms. The calculation puts the total moment at 0.097 μB per atom. Its space-group type is I4/mcm (140).

=====

Computed, not measured: a relaxed structure of TiHgPt2N at the PBE-GGA level of DFT.

Cell and atoms, written as POSCAR:
```
TiHgPt2N
1.0
4.378 0.000 0.000
0.000 3.988 0.000
0.000 0.000 4.378
Pt Hg N Ti
2 1 1 1
Direct
0.500 0.000 0.000
0.000 0.000 0.500
0.500 0.500 0.500
0.000 0.000 0.000
0.000 0.500 0.000
```

Results
For the uncorrected formation energy, the calculation gives -0.57 eV per formula unit. The calculation puts the total moment at 0.000 μB per atom. Its space-group type is P4/mmm (123).

=====

Computed, not measured: a relaxed structure of DyErMgAu at the PBE-GGA level of DFT.

Cell and atoms, written as POSCAR:
```
DyErMgAu
1.0
3.687 0.000 0.000
0.000 3.687 0.000
0.000 0.000 7.245
Mg Au Er Dy
1 1 1 1
Direct
0.500 0.500 0.111
0.500 0.500 0.602
0.000 0.000 0.373
0.000 0.000 0.843
```

Results
For the formation energy, the calculation gives -46 kJ/mol of atoms. The calculation puts the distance to the lowest polymorph of the same formula at 0.0000 eV/atom. The calculation puts the total moment at 0.000 μB per atom. Its space-group type is P4mm (99).

=====

Computed, not measured: a relaxed structure of Cu6OF11 at the PBE-GGA level of DFT.

Cell and atoms, written as POSCAR:
```
Cu6OF11
1.0
5.547 -0.232 0.074
1.901 5.385 0.169
2.038 1.064 6.856
Cu F O
6 11 1
Direct
0.336 0.341 0.169
0.000 0.003 0.000
0.329 0.330 0.665
0.986 0.981 0.496
0.674 0.671 0.343
0.670 0.671 0.818
0.219 0.223 0.466
0.430 0.440 0.869
0.104 0.105 0.197
0.576 0.581 0.131
0.640 0.054 0.160
0.973 0.366 0.830
0.032 0.637 0.176
0.310 0.696 0.496
0.361 0.969 0.835
0.686 0.281 0.509
0.903 0.895 0.803
0.772 0.756 0.537
```

Results
The calculation puts the distance to the lowest polymorph of the same formula at 0.0063 eV/atom. For the uncorrected formation energy, the calculation gives -25.12 eV per formula unit. The calculation puts the total moment at 0.279 μB per atom. Its space-group type is P1 (1).

=====

Computed, not measured: a relaxed structure of Pr6CdAg3 at the PBE-GGA level of DFT.

Cell and atoms, written as POSCAR:
```
Pr6CdAg3
1.0
-4.861 -1.234 -4.529
5.933 -5.955 -4.746
-4.679 -5.397 6.493
Pr Ag Cd
12 6 2
Direct
0.606 0.268 0.317
0.797 0.462 0.054
0.797 0.946 0.538
0.297 0.538 0.946
0.106 0.732 0.683
0.313 0.937 0.063
0.297 0.054 0.462
0.606 0.683 0.732
0.160 0.696 0.304
0.813 0.063 0.937
0.660 0.304 0.696
0.106 0.317 0.268
0.912 0.005 0.247
0.771 0.587 0.413
0.912 0.753 0.995
0.271 0.413 0.587
0.412 0.247 0.005
0.412 0.995 0.753
0.110 0.222 0.778
0.610 0.778 0.222
```

Results
For the formation energy, the calculation gives -8 kJ/mol of atoms. The calculation puts the distance to the lowest polymorph of the same formula at 0.0714 eV/atom. The calculation puts the total moment at 0.000 μB per atom. Its space-group type is Cmc2_1 (36).

=====

Computed, not measured: a relaxed structure of CaZr2Sn at the PBE-GGA level of DFT.

Cell and atoms, written as POSCAR:
```
CaZr2Sn
1.0
-1.866 -1.225 4.604
0.425 3.295 3.892
-4.154 2.389 1.795
Zr Sn Ca
2 1 1
Direct
0.250 0.250 0.250
0.750 0.750 0.750
0.500 0.500 0.500
0.000 0.000 0.000
```

Results
For the formation energy, the calculation gives 1 kJ/mol of atoms. The calculation puts the distance to the lowest polymorph of the same formula at 0.0000 eV/atom. The calculation puts the total moment at 0.000 μB per atom. Its space-group type is Fm-3m (225).

=====

Computed, not measured: a relaxed structure of YGaIr2O at the PBE-GGA level of DFT.

Cell and atoms, written as POSCAR:
```
YGaIr2O
1.0
4.790 0.000 0.000
0.000 3.894 0.000
0.000 0.000 4.790
Ga O Y Ir
1 1 1 2
Direct
0.000 0.000 0.000
0.000 0.500 0.000
0.500 0.500 0.500
0.000 0.000 0.500
0.500 0.000 0.000
```

Results
For the uncorrected formation energy, the calculation gives 0.12 eV per formula unit. The calculation puts the total moment at 0.253 μB per atom. Its space-group type is P4/mmm (123).

=====

Computed, not measured: a relaxed structure of TaHgOs2 at the PBE-GGA level of DFT.

Cell and atoms, written as POSCAR:
```
TaHgOs2
1.0
5.079 -0.012 0.000
2.050 4.647 0.000
-3.564 -2.317 2.778
Os Ta Hg
2 1 1
Direct
0.250 0.750 0.500
0.000 0.000 0.000
0.500 0.500 0.000
0.750 0.250 0.500
```

Results
For the formation energy, the calculation gives 43 kJ/mol of atoms. The calculation puts the total moment at 0.000 μB per atom. Its space-group type is I-4m2 (119).

=====

no.,uncorrected energy (eV per atom)
1,-0.91
2,-4.09
3,-6.23
4,-4.98
5,-2.72
6,-4.27
7,-7.20
8,-7.77
9,-5.79
10,-4.34
11,-4.47
12,-2.41
13,-5.60
14,-4.97
15,-3.09
16,-4.84
17,-3.70
18,-7.10
19,-5.83
20,-3.98
21,-4.18
22,-3.90
23,-5.77
24,-6.41
25,-8.21